# 1
## Hf2Al2Zn3 (PBE-GGA)

Data for a relaxed Hf2Al2Zn3 crystal.

Calculated values
The theoretical density comes out at 7.916 g/cm³. As for the relative energy among the computed polymorphs: 0.291 eV/atom. The total magnetic moment comes out at 0.00 μB per cell. As for the total energy: -4.39 eV/atom. As for the volume: 18.194 Å³ per atom.

a = 6.9166 Å, b = 6.9166 Å, c = 6.9166 Å
α = 109.47°, β = 109.47°, γ = 109.47°
Last column: nearest neighbours and their distance in Å.
Sites, in units of the cell vectors:
Hf 0.0000 0.0000 0.4995  1 Al 2.68, 6 Zn 2.80-2.84
Hf 0.5000 0.4995 0.5000  1 Al 2.68, 6 Zn 2.80-2.84
Hf 0.5005 0.0005 0.0005  1 Al 2.68, 6 Zn 2.80-2.84
Hf 0.9995 0.5000 0.0000  1 Al 2.68, 6 Zn 2.80-2.84
Al 0.0000 0.0000 0.8865  3 Zn 2.54, 1 Hf 2.68
Al 0.5000 0.8865 0.5000  3 Zn 2.54, 1 Hf 2.68
Al 0.1135 0.6135 0.6135  3 Zn 2.54, 1 Hf 2.68
Al 0.3865 0.5000 0.0000  3 Zn 2.54, 1 Hf 2.68
Zn 0.7529 0.7500 0.0029  2 Al 2.54, 4 Hf 2.80-2.84, 4 Zn 2.81
Zn 0.7471 0.2500 0.4971  2 Al 2.54, 4 Hf 2.80-2.84, 4 Zn 2.81
Zn 0.9971 0.2471 0.2500  2 Al 2.54, 4 Hf 2.80-2.84, 4 Zn 2.81
Zn 0.5029 0.2529 0.7500  2 Al 2.54, 4 Hf 2.80-2.84, 4 Zn 2.81
Zn 0.2500 0.0029 0.2529  2 Al 2.54, 4 Hf 2.80-2.84, 4 Zn 2.81
Zn 0.7500 0.4971 0.2471  2 Al 2.54, 4 Hf 2.80-2.84, 4 Zn 2.81

# 2
## BeSe3 (PBE-GGA)

Data for a relaxed BeSe3 crystal.

Calculated values
The theoretical density comes out at 5.532 g/cm³. As for the relative energy among the computed polymorphs: 0.159 eV/atom. Its uncorrected formation energy is 0.099 eV/atom. The total magnetic moment comes out at 0.00 μB per cell. As for the total energy: -3.45 eV/atom. As for the volume: 18.452 Å³ per atom.

a = 6.9083 Å, b = 6.9083 Å, c = 6.9083 Å
α = 30.18°, β = 30.18°, γ = 30.18°
Last column: nearest neighbours and their distance in Å.
Sites, in units of the cell vectors:
Be 0.0000 0.0000 0.0000  6 Se 2.44
Se 0.7310 0.7310 0.7310  3 Be 2.44
Se 0.5000 0.5000 0.5000  6 Se 2.90
Se 0.2690 0.2690 0.2690  3 Be 2.44

# 3
## Pu3Ni2Ge2 (PBE-GGA)

Data for a relaxed Pu3Ni2Ge2 crystal.

Calculated values
The theoretical density comes out at 11.469 g/cm³. The total magnetic moment comes out at 16.20 μB per cell. As for the total energy: -9.46 eV/atom. As for the volume: 20.573 Å³ per atom.

a = 4.1299 Å, b = 4.0081 Å, c = 9.1635 Å
α = 102.63°, β = 103.02°, γ = 90.00°
Last column: nearest neighbours and their distance in Å.
Sites, in units of the cell vectors:
Pu 0.0000 0.0000 0.0000  8 Ni 3.11, 4 Ge 3.11
Pu 0.6876 0.1876 0.3752  2 Ni 2.90, 5 Ge 3.01-3.06
Pu 0.3124 0.8124 0.6248  2 Ni 2.90, 5 Ge 3.01-3.06
Ni 0.5674 0.5674 0.1349  1 Ni 2.35, 2 Ge 2.39
Ni 0.4326 0.4326 0.8651  1 Ni 2.35, 2 Ge 2.39
Ge 0.1367 0.6367 0.2733  2 Ni 2.39
Ge 0.8633 0.3633 0.7267  2 Ni 2.39

# 4
## Ba2NdEu (PBE-GGA)

Data for a relaxed Ba2NdEu crystal.

Calculated values
The theoretical density comes out at 4.853 g/cm³. As for the relative energy among the computed polymorphs: 0.000 eV/atom. The total magnetic moment comes out at 7.04 μB per cell. As for the total energy: -4.58 eV/atom. As for the volume: 48.829 Å³ per atom.

a = 4.0345 Å, b = 4.0345 Å, c = 11.9994 Å
α = 90.00°, β = 90.00°, γ = 90.00°
Last column: nearest neighbours and their distance in Å.
Sites, in units of the cell vectors:
Eu 0.5000 0.5000 0.5000  4 Eu 4.03, 8 Ba 4.25
Nd 0.5000 0.5000 0.0000  8 Ba 4.03, 4 Nd 4.03
Ba 0.0000 0.0000 0.7630  4 Nd 4.03, 4 Ba 4.03, 4 Eu 4.25
Ba 0.0000 0.0000 0.2370  4 Nd 4.03, 4 Ba 4.03, 4 Eu 4.25

| no. | density of states at the Fermi level (states/eV/atom) |
| --- | --- |
| 1 | 0.9139 |
| 2 | 0.6451 |
| 3 | 4.1575 |
| 4 | 3.2283 |